(1)
Entry from OQMD: crystalline Bi2PtO4 at its relaxed geometry (PBE). Values from VASP.

The structure in Quantum ESPRESSO input format:
```
&SYSTEM
  ibrav = 0, nat = 28, ntyp = 3
/
ATOMIC_SPECIES
Bi 208.98 Bi.upf
O 16.00 O.upf
Pt 195.08 Pt.upf
CELL_PARAMETERS angstrom
8.561 0.000 0.000
0.000 8.561 0.000
0.000 0.000 6.047
ATOMIC_POSITIONS angstrom
Bi 7.862 0.699 1.512
Bi 4.980 3.581 1.512
Bi 0.699 4.980 1.512
Bi 3.581 7.862 1.512
Bi 4.980 0.699 4.535
Bi 7.862 3.581 4.535
Bi 3.581 4.980 4.535
Bi 0.699 7.862 4.535
O 1.258 0.295 0.552
O 3.986 1.258 0.552
O 0.295 3.022 0.552
O 3.022 3.986 0.552
O 7.303 4.575 2.472
O 4.575 5.539 2.472
O 8.267 7.303 2.472
O 5.539 8.267 2.472
O 3.022 0.295 3.575
O 0.295 1.258 3.575
O 3.986 3.022 3.575
O 1.258 3.986 3.575
O 5.539 4.575 5.495
O 8.267 5.539 5.495
O 4.575 7.303 5.495
O 7.303 8.267 5.495
Pt 2.140 2.140 0.501
Pt 6.421 6.421 2.522
Pt 2.140 2.140 3.524
Pt 6.421 6.421 5.546
```

Values from the calculation:
**Crystal system**: tetragonal
**Space group**: P4/ncc (130)

=====

(2)
Entry from OQMD: crystalline Bi3Pt3O11 at its relaxed geometry (PBE). Values from VASP.

The structure in Quantum ESPRESSO input format:
```
&SYSTEM
  ibrav = 0, nat = 68, ntyp = 3
/
ATOMIC_SPECIES
Bi 208.98 Bi.upf
O 16.00 O.upf
Pt 195.08 Pt.upf
CELL_PARAMETERS angstrom
-8.734 2.541 -2.439
-3.456 -4.921 7.249
0.681 7.618 5.496
ATOMIC_POSITIONS angstrom
Bi -7.939 2.562 -0.413
Bi -4.069 -2.908 6.689
Bi -2.877 1.309 2.576
Bi -8.972 0.119 4.981
Bi -6.550 2.598 3.126
Bi -5.141 0.606 5.712
Bi -4.037 3.953 5.244
Bi -7.291 3.318 6.528
Bi -6.904 6.389 4.104
Bi -4.265 2.658 8.948
Bi -1.037 6.283 5.404
Bi -9.973 4.539 8.930
O -3.087 0.898 -0.862
O -5.648 1.643 -1.577
O -1.221 -1.739 2.562
O -2.234 -3.182 4.687
O -3.875 -0.543 1.307
O -8.309 -1.767 3.553
O -1.187 0.540 1.063
O -10.862 -1.348 4.880
O -5.995 -0.073 3.210
O -3.448 -0.605 4.007
O -8.510 0.813 2.669
O -4.770 2.038 1.189
O -7.132 -1.187 5.952
O -0.985 0.581 3.964
O -10.813 1.426 4.010
O -2.306 3.223 1.145
O -9.434 -0.574 7.292
O 0.241 2.692 1.942
O -4.567 2.078 4.089
O -7.083 1.587 5.082
O -1.879 3.162 3.845
O -9.636 2.006 6.409
O -4.533 4.358 2.591
O -2.668 1.721 6.015
O -8.841 3.517 4.290
O -6.976 0.880 7.714
O -7.640 4.910 2.286
O -3.863 0.399 8.070
O -6.229 4.175 4.720
O -5.140 2.635 6.719
O 0.440 4.925 3.553
O -5.779 6.889 1.978
O -5.498 0.937 10.194
O -9.350 6.329 3.878
O -1.870 2.140 8.758
O -4.458 6.448 4.331
O -6.659 3.176 9.139
O -8.029 5.888 6.231
O -3.031 4.379 7.703
O -5.514 5.311 7.095
O -7.579 8.603 3.489
O -3.390 2.681 11.178
O -6.168 7.868 5.923
O -4.666 4.917 9.827
Pt -4.914 0.492 -0.074
Pt -4.714 -1.592 2.790
Pt -7.476 -0.788 2.019
Pt -7.277 -2.872 4.883
Pt -1.620 -1.256 4.493
Pt -4.134 3.875 0.659
Pt -1.040 4.210 2.362
Pt -7.013 5.948 0.694
Pt -0.841 2.126 5.226
Pt -1.934 0.571 7.518
Pt -3.919 6.283 2.397
Pt -1.155 3.953 8.251
```

Values from the calculation:
**Crystal system**: cubic
**Space group**: Pn-3 (201)

=====

(3)
Entry from OQMD: crystalline Re2BiO4 at its relaxed geometry (PBE). Values from VASP.

The structure in Quantum ESPRESSO input format:
```
&SYSTEM
  ibrav = 0, nat = 14, ntyp = 3
/
ATOMIC_SPECIES
Bi 208.98 Bi.upf
O 16.00 O.upf
Re 186.21 Re.upf
CELL_PARAMETERS angstrom
-5.417 -3.228 1.774
0.160 3.250 -5.686
3.512 -5.480 0.738
ATOMIC_POSITIONS angstrom
Bi 0.000 0.000 0.000
Bi -3.105 -2.166 -1.328
O 0.422 -0.257 -3.910
O -1.794 -3.498 0.245
O -1.697 -1.520 -3.216
O 0.828 -2.004 -1.124
O -0.421 -5.642 0.534
O 2.264 -2.877 -3.059
O 2.202 -4.149 -0.835
O 0.145 -4.140 -2.365
Re -1.472 0.542 -3.507
Re 0.204 -3.823 -0.295
Re 0.284 -2.198 -3.137
Re -2.505 -5.437 0.592
```

Values from the calculation:
**Crystal system**: cubic
**Space group**: Fd-3m (227)

=====

(4)
Entry from OQMD: crystalline ReBiO4 at its relaxed geometry (PBE). Values from VASP.

The structure in Quantum ESPRESSO input format:
```
&SYSTEM
  ibrav = 0, nat = 12, ntyp = 3
/
ATOMIC_SPECIES
Bi 208.98 Bi.upf
O 16.00 O.upf
Re 186.21 Re.upf
CELL_PARAMETERS angstrom
6.008 -2.438 0.000
6.008 2.438 0.000
-1.516 0.000 5.205
ATOMIC_POSITIONS angstrom
Bi 5.629 -1.204 1.301
Bi 4.871 1.204 3.904
O 4.790 0.459 0.200
O 2.081 -0.230 0.957
O 9.177 -0.230 1.646
O 6.468 0.459 2.403
O 4.032 -0.459 2.802
O 1.323 0.230 3.559
O 8.419 0.230 4.248
O 5.710 -0.459 5.005
Re 3.004 1.219 0.000
Re 2.246 -1.219 2.602
```

Values from the calculation:
**Crystal system**: monoclinic
**Space group**: C2/c (15)

=====

(5)
Entry from OQMD: crystalline ReBi3O8 at its relaxed geometry (PBE). Values from VASP.

The structure in Quantum ESPRESSO input format:
```
&SYSTEM
  ibrav = 0, nat = 48, ntyp = 3
/
ATOMIC_SPECIES
Bi 208.98 Bi.upf
O 16.00 O.upf
Re 186.21 Re.upf
CELL_PARAMETERS angstrom
9.691 1.351 -1.804
-1.804 1.437 9.679
-2.580 -9.275 -2.513
ATOMIC_POSITIONS angstrom
Bi 8.057 -0.119 2.683
Bi 5.578 -0.280 5.223
Bi 4.962 -2.935 2.524
Bi -0.831 -3.113 7.858
Bi 2.201 -3.173 4.970
Bi 5.867 -3.917 5.817
Bi 2.312 -5.473 2.078
Bi -0.829 -5.510 5.237
Bi 4.808 -5.892 -0.804
Bi 2.665 -6.614 5.723
Bi 5.578 -6.716 2.716
Bi 2.089 -8.154 -1.130
O 3.329 1.308 4.052
O 8.332 2.006 3.121
O 6.993 1.177 0.961
O 0.337 -0.411 0.340
O 0.939 0.720 8.196
O 3.483 0.356 6.929
O 2.709 -0.768 1.928
O 1.354 -0.531 5.049
O 5.956 -0.504 3.092
O -1.804 -1.172 6.825
O 8.053 -1.362 -1.365
O 4.958 -1.740 0.020
O 0.304 -2.161 2.624
O 1.763 -2.909 0.274
O 3.719 -3.374 -1.999
O 4.450 -2.351 4.756
O -2.078 -4.010 2.969
O -3.009 -3.268 7.966
O -0.350 -3.455 5.764
O 2.904 -3.549 2.934
O 6.625 -3.845 -1.263
O -0.248 -5.141 1.058
O 6.192 -4.292 3.699
O 4.540 -5.031 1.425
O 1.363 -5.272 4.278
O 3.295 -4.589 6.207
O 0.380 -6.812 -2.159
O 2.671 -6.157 -0.495
O -1.531 -6.995 3.000
O -1.874 -8.058 0.361
O 2.388 -8.162 -3.296
O 3.466 -6.951 3.180
Re 1.608 1.069 4.372
Re 1.279 -1.563 1.292
Re 4.177 -1.727 -1.553
Re -1.757 -4.265 1.251
```

Values from the calculation:
**Crystal system**: cubic
**Space group**: I2_13 (199)

=====

(6)
Entry from OQMD: crystalline SmBiSO2 at its relaxed geometry (PBE). Values from VASP.

The structure in Quantum ESPRESSO input format:
```
&SYSTEM
  ibrav = 0, nat = 5, ntyp = 4
/
ATOMIC_SPECIES
Bi 208.98 Bi.upf
O 16.00 O.upf
S 32.06 S.upf
Sm 150.36 Sm.upf
CELL_PARAMETERS angstrom
-1.927 1.927 6.904
1.927 -1.927 6.904
1.927 1.927 -6.904
ATOMIC_POSITIONS angstrom
Bi 0.000 0.000 13.790
O 0.000 1.927 3.667
O 1.927 0.000 3.667
S 0.000 0.000 4.119
Sm 0.000 0.000 9.277
```

Values from the calculation:
**Crystal system**: tetragonal
**Space group**: I4mm (107)

=====

(7)
Entry from OQMD: crystalline SmBiSO2 at its relaxed geometry (PBE). Values from VASP.

The structure in Quantum ESPRESSO input format:
```
&SYSTEM
  ibrav = 0, nat = 5, ntyp = 4
/
ATOMIC_SPECIES
Bi 208.98 Bi.upf
O 16.00 O.upf
S 32.06 S.upf
Sm 150.36 Sm.upf
CELL_PARAMETERS angstrom
3.928 0.000 0.000
-1.964 3.402 0.000
0.000 0.000 6.797
ATOMIC_POSITIONS angstrom
Bi 0.000 0.000 4.911
O 0.000 0.000 2.510
O 0.000 2.268 4.236
S 1.964 1.134 0.036
Sm 0.000 2.268 1.901
```

Values from the calculation:
**Crystal system**: trigonal
**Space group**: P3m1 (156)

=====

(8)
Entry from OQMD: crystalline SmBiS2O at its relaxed geometry (PBE). Values from VASP.

The structure in Quantum ESPRESSO input format:
```
&SYSTEM
  ibrav = 0, nat = 10, ntyp = 4
/
ATOMIC_SPECIES
Bi 208.98 Bi.upf
O 16.00 O.upf
S 32.06 S.upf
Sm 150.36 Sm.upf
CELL_PARAMETERS angstrom
3.968 0.000 0.000
0.000 3.968 0.000
0.000 0.000 14.150
ATOMIC_POSITIONS angstrom
Bi 0.000 1.984 1.899
Bi 1.984 0.000 12.251
O 0.000 0.000 7.075
O 1.984 1.984 7.075
S 1.984 0.000 1.457
S 0.000 1.984 4.427
S 1.984 0.000 9.723
S 0.000 1.984 12.693
Sm 1.984 0.000 5.894
Sm 0.000 1.984 8.256
```

Values from the calculation:
**Crystal system**: tetragonal
**Space group**: P4/nmm (129)

=====

(9)
Entry from OQMD: crystalline TbBiSO2 at its relaxed geometry (PBE). Values from VASP.

The structure in Quantum ESPRESSO input format:
```
&SYSTEM
  ibrav = 0, nat = 5, ntyp = 4
/
ATOMIC_SPECIES
Bi 208.98 Bi.upf
O 16.00 O.upf
S 32.06 S.upf
Tb 158.93 Tb.upf
CELL_PARAMETERS angstrom
-1.467 3.163 -1.721
-2.138 -1.982 2.573
2.437 3.844 4.986
ATOMIC_POSITIONS angstrom
Bi 1.764 2.782 3.608
O 0.892 1.408 1.826
O -0.405 2.114 4.229
S -1.667 1.485 -0.242
Tb -1.229 0.814 2.544
```

Values from the calculation:
**Crystal system**: trigonal
**Space group**: P3m1 (156)

=====

(10)
Entry from OQMD: crystalline ZnBiSbO at its relaxed geometry (PBE). Values from VASP.

The structure in Quantum ESPRESSO input format:
```
&SYSTEM
  ibrav = 0, nat = 32, ntyp = 4
/
ATOMIC_SPECIES
Bi 208.98 Bi.upf
O 16.00 O.upf
Sb 121.76 Sb.upf
Zn 65.41 Zn.upf
CELL_PARAMETERS angstrom
9.688 0.000 0.000
0.000 17.311 0.000
0.000 0.000 4.593
ATOMIC_POSITIONS angstrom
Bi 2.419 0.057 2.297
Bi 2.454 4.269 2.297
Bi 7.298 4.386 2.297
Bi 7.263 8.598 2.297
Bi 2.425 8.712 2.297
Bi 2.390 12.925 2.297
Bi 7.235 13.041 2.297
Bi 7.270 17.254 2.297
O 2.436 0.703 0.000
O 2.447 3.623 0.000
O 7.291 5.033 0.000
O 7.280 7.953 0.000
O 2.408 9.358 0.000
O 2.397 12.278 0.000
O 7.242 13.688 0.000
O 7.253 16.608 0.000
Sb 9.359 2.157 2.297
Sb 5.210 2.171 2.297
Sb 0.366 6.484 2.297
Sb 4.515 6.498 2.297
Sb 5.174 10.812 2.297
Sb 9.323 10.827 2.297
Sb 4.479 15.139 2.297
Sb 0.330 15.154 2.297
Zn 3.898 2.154 0.000
Zn 0.988 2.171 0.000
Zn 5.832 6.485 0.000
Zn 8.742 6.501 0.000
Zn 0.946 10.809 0.000
Zn 3.856 10.826 0.000
Zn 8.700 15.140 0.000
Zn 5.791 15.157 0.000
```

Values from the calculation:
**Crystal system**: orthorhombic
**Space group**: Pbam (55)
**Energy relative to the lowest polymorph listed for this composition**: 21 meV per atom

=====

(11)
Entry from OQMD: crystalline ZnBiSbO at its relaxed geometry (PBE). Values from VASP.

The structure in Quantum ESPRESSO input format:
```
&SYSTEM
  ibrav = 0, nat = 32, ntyp = 4
/
ATOMIC_SPECIES
Bi 208.98 Bi.upf
O 16.00 O.upf
Sb 121.76 Sb.upf
Zn 65.41 Zn.upf
CELL_PARAMETERS angstrom
-2.378 -3.804 -10.088
14.550 -12.891 1.431
-2.106 -2.229 1.337
ATOMIC_POSITIONS angstrom
Bi 1.148 -2.480 -2.326
Bi 2.315 -5.037 -4.751
Bi 3.746 -3.350 0.317
Bi 3.761 -7.750 -6.996
Bi 8.411 -8.944 -1.661
Bi 8.426 -13.345 -8.974
Bi 9.857 -11.657 -3.906
Bi 11.025 -14.215 -6.331
O 0.582 -3.293 -4.573
O 1.829 -1.806 -0.129
O 4.108 -6.780 -4.832
O 3.269 -8.629 -9.236
O 8.903 -8.066 0.579
O 8.065 -9.915 -3.824
O 10.343 -14.889 -8.527
O 11.590 -13.401 -4.083
Sb -2.526 -4.290 -6.946
Sb 0.382 -6.857 -6.644
Sb 2.379 -5.671 -1.521
Sb 5.279 -8.249 -1.251
Sb 4.787 -10.674 -6.069
Sb 7.688 -13.253 -5.799
Sb 9.685 -12.067 -0.675
Sb 12.592 -14.634 -0.374
Zn -1.052 -4.388 -4.788
Zn -1.710 -6.099 -8.677
Zn 3.589 -7.838 -3.229
Zn 4.777 -6.597 0.712
Zn 5.289 -12.326 -8.032
Zn 6.478 -11.085 -4.091
Zn 11.776 -12.824 1.357
Zn 11.119 -14.536 -2.532
```

Values from the calculation:
**Crystal system**: orthorhombic
**Space group**: Pbam (55)
**Energy relative to the lowest polymorph listed for this composition**: 59 meV per atom

=====

(12)
Entry from OQMD: crystalline ZnBiSbO at its relaxed geometry (PBE). Values from VASP.

The structure in Quantum ESPRESSO input format:
```
&SYSTEM
  ibrav = 0, nat = 8, ntyp = 4
/
ATOMIC_SPECIES
Bi 208.98 Bi.upf
O 16.00 O.upf
Sb 121.76 Sb.upf
Zn 65.41 Zn.upf
CELL_PARAMETERS angstrom
0.295 7.699 -1.107
-2.543 -5.791 4.537
4.187 0.217 2.624
ATOMIC_POSITIONS angstrom
Bi 0.252 2.575 1.715
Bi 1.687 -0.450 4.338
O -0.490 -0.956 3.193
O 2.430 3.081 2.861
Sb 0.868 5.501 0.491
Sb 1.071 -3.377 5.563
Zn 0.000 0.000 0.000
Zn 2.094 0.109 1.312
```

Values from the calculation:
**Crystal system**: orthorhombic
**Space group**: Cmcm (63)
**Energy relative to the lowest polymorph listed for this composition**: 340 meV per atom

=====

How do the records compare in final energy? In the order shown, they have -5.808, -5.849, -7.429, -7.379, -6.760, -5.513, -6.588, -6.099, -6.604, -4.081, -4.042, -3.762 eV per atom.